1.
Compound: PaGaCoCu
Source: Alexandria via LeMat-Bulk
Functional: PBE
Structure: optimized geometry

Raw total energy in eV per atom: -6.1079
Energy of formation from the pure elements in kcal/mol of atoms: -4.07

Geometry as POSCAR:
```
PaGaCoCu
1.0
0.000 3.204 3.204
3.204 0.000 3.204
3.204 3.204 0.000
Pa Ga Co Cu
1 1 1 1
direct
0.000 0.000 0.000
0.500 0.500 0.500
0.750 0.750 0.750
0.250 0.250 0.250
```

=====

2.
Compound: GaCoCuPd
Source: Alexandria via LeMat-Bulk
Functional: PBE
Structure: optimized geometry

Raw total energy in eV per atom: -5.0646
Energy of formation from the pure elements in kcal/mol of atoms: -4.82

Geometry as POSCAR:
```
GaCoCuPd
1.0
0.000 2.958 2.958
2.958 0.000 2.958
2.958 2.958 0.000
Ga Co Cu Pd
1 1 1 1
direct
0.000 0.000 0.000
0.250 0.250 0.250
0.500 0.500 0.500
0.750 0.750 0.750
```

=====

3.
Compound: PmGa3CoCu
Source: Alexandria via LeMat-Bulk
Functional: PBE
Structure: optimized geometry

Raw total energy in eV per atom: -4.3783
Energy of formation from the pure elements in kcal/mol of atoms: -4.75

Geometry as POSCAR:
```
PmGa3CoCu
1.0
3.115 -5.680 0.000
3.115 5.680 0.000
0.000 0.000 6.310
Pm Ga Co Cu
2 6 2 2
direct
0.235 0.765 0.750
0.765 0.235 0.250
0.209 0.209 0.000
0.209 0.209 0.500
0.304 0.696 0.250
0.696 0.304 0.750
0.791 0.791 0.000
0.791 0.791 0.500
0.108 0.892 0.250
0.892 0.108 0.750
0.488 0.512 0.750
0.512 0.488 0.250
```

=====

4.
Compound: PmGaCoCu
Source: Alexandria via LeMat-Bulk
Functional: PBE
Structure: optimized geometry

Raw total energy in eV per atom: -4.8483
Energy of formation from the pure elements in kcal/mol of atoms: -2.39

Geometry as POSCAR:
```
PmGaCoCu
1.0
0.000 3.238 3.238
3.238 0.000 3.238
3.238 3.238 0.000
Pm Ga Co Cu
1 1 1 1
direct
0.000 0.000 0.000
0.500 0.500 0.500
0.750 0.750 0.750
0.250 0.250 0.250
```

=====

Question: Among the records above, which one has the lowest energy of formation from the pure elements?
Answer: GaCoCuPd